(1)
Below is a geometry-optimized NaSr7Ca4 structure, with properties calculated at the PBE level.

Distance to the lowest polymorph of the same formula: 99 meV/atom
SG: C2/m, No. 12
Crystal system: monoclinic

Lattice parameters (Å, degrees): 6.8139 10.9523 9.8139 64.82 69.69 71.88
Last column: nearest neighbours and their distance in Å.
Sites, in units of the cell vectors:
Ca 0.4366 0.6958 0.4311  6 Sr 3.80-4.15, 2 Ca 3.81-4.02
Ca 0.3257 0.3834 0.9653  7 Sr 3.71-4.00, 1 Ca 4.02
Ca 0.6743 0.6166 0.0347  7 Sr 3.71-4.00, 1 Ca 4.02
Ca 0.5634 0.3042 0.5689  6 Sr 3.80-4.15, 2 Ca 3.81-4.02
Sr 0.9221 0.4283 0.7276  3 Sr 3.91-4.28, 5 Ca 3.97-4.09, 1 Na 4.27
Sr 0.7941 0.8682 0.5436  6 Sr 4.04-4.28, 3 Ca 4.15-4.34
Sr 0.2059 0.1318 0.4564  6 Sr 4.04-4.28, 3 Ca 4.15-4.34
Sr 0.5000 0.0000 0.0000  2 Na 3.41
Sr 0.2128 0.7648 0.8096  1 Na 3.48, 2 Ca 3.71-3.80
Sr 0.0779 0.5717 0.2724  3 Sr 3.91-4.28, 5 Ca 3.97-4.09, 1 Na 4.27
Sr 0.7872 0.2352 0.1904  1 Na 3.48, 2 Ca 3.71-3.80
Na 0.0000 0.0000 0.0000  4 Sr 3.41-3.48


(2)
Below is a geometry-optimized K2NaCdAu structure, with properties calculated at the PBE level.

Distance to the lowest polymorph of the same formula: 274 meV/atom
SG: P4/mmm, No. 123
Crystal system: tetragonal

Lattice parameters (Å, degrees): 6.5722 5.2678 6.5722 90.00 90.00 90.00
Last column: nearest neighbours and their distance in Å.
Sites, in units of the cell vectors:
Cd 0.5000 0.5000 0.5000  8 K 4.21, 4 Au 4.65
K 0.5000 0.0000 0.0000  2 Na 3.29
K 0.0000 0.0000 0.5000  2 Na 3.29
Au 0.0000 0.5000 0.0000  2 Na 2.63
Na 0.0000 0.0000 0.0000  2 Au 2.63


The records above yield formation energy values of 0.129 0.154 eV per atom, respectively.